No. 1
Computed, not measured: a relaxed Ni3C2 crystal at the PBE level of DFT.

a b c (Å): 3.2059 3.2059 5.0715
angles (deg): 90.00 90.00 120.00
Space group P-3m1 (No. 164)
Unique sites:
Ni (0.0000, 0.0000, 0.0000) [1 per cell]
Ni (0.3333, 0.6667, 0.3424) [2 per cell]
C (0.3333, 0.6667, 0.7528) [2 per cell]

Output
energy of formation	0.582	eV per atom

No. 2
Computed, not measured: a relaxed YMg2Bi2 crystal at the PBE level of DFT.

a b c (Å): 8.3607 8.3607 4.0382
angles (deg): 90.00 90.00 90.00
Space group P4/mbm (No. 127)
Unique sites:
Y (0.0000, 0.0000, 0.0000) [2 per cell]
Mg (0.1425, 0.3575, 0.5000) [4 per cell]
Bi (0.1572, 0.6572, 0.0000) [4 per cell]

Output
energy of formation	-0.260	eV per atom

No. 3
Computed, not measured: a relaxed Ba2Cu2Ge crystal at the PBE level of DFT.

a b c (Å): 3.7245 3.7245 19.7188
angles (deg): 90.00 90.00 90.00
Space group I4/mmm (No. 139)
Unique sites:
Ba (0.0000, 0.0000, 0.1093) [4 per cell]
Cu (0.0000, 0.5000, 0.2500) [4 per cell]
Ge (0.0000, 0.0000, 0.5000) [2 per cell]

Output
ΔE to the lowest computed polymorph	6.6	kJ per mole of atoms
energy of formation	-0.043	eV per atom

No. 4
Computed, not measured: a relaxed ZnFe2OsCl crystal at the PBE level of DFT.

a b c (Å): 4.6583 4.6583 4.9454
angles (deg): 90.00 90.00 90.00
Space group P4/mmm (No. 123)
Unique sites:
Zn (0.0000, 0.0000, 0.0000) [1 per cell]
Fe (0.0000, 0.5000, 0.5000) [2 per cell]
Os (0.0000, 0.0000, 0.5000) [1 per cell]
Cl (0.5000, 0.5000, 0.0000) [1 per cell]

Output
E_form (uncorrected)	1.11	eV/atom